## i
A plane-wave DFT calculation with PBE-GGA was carried out for an optimized crystal structure of In2SiPb.

Lattice parameters (Å, degrees): 3.328 3.936 7.856 90.00 90.00 90.00
Fractional coordinates of all 4 atoms:
1 In 0.000 0.000 0.000
2 In 0.500 0.500 0.265
3 Si 0.500 0.500 0.806
4 Pb 0.000 0.000 0.574

## Properties
Crystal system ... orthorhombic

## ii
A plane-wave DFT calculation with PBE-GGA was carried out for an optimized crystal structure of In2SiPb.

Lattice parameters (Å, degrees): 3.304 3.304 9.623 90.00 90.00 100.69
Fractional coordinates of all 4 atoms:
1 In 0.000 0.000 0.000
2 In 0.500 0.500 0.266
3 Si 0.500 0.500 0.790
4 Pb 0.000 0.000 0.556

## Properties
Crystal system ... orthorhombic

Least stable of them? ii.

## i
A plane-wave DFT calculation with PBE-GGA was carried out for an optimized crystal structure of InSi2Pb.

Lattice parameters (Å, degrees): 7.558 7.558 7.558 131.80 131.80 70.55
Fractional coordinates of all 8 atoms:
1 In 0.000 0.000 0.000
2 In 0.750 0.250 0.500
3 Si 0.115 0.625 0.990
4 Si 0.375 0.365 0.490
5 Si 0.635 0.125 0.010
6 Si 0.875 0.885 0.510
7 Pb 0.250 0.750 0.500
8 Pb 0.500 0.500 0.000

## Properties
Crystal system ... tetragonal

## ii
A plane-wave DFT calculation with PBE-GGA was carried out for an optimized crystal structure of InSi2Pb.

Lattice parameters (Å, degrees): 5.064 5.064 5.064 60.00 60.00 60.00
Fractional coordinates of all 4 atoms:
1 In 0.000 0.000 0.000
2 Si 0.500 0.500 0.500
3 Si 0.750 0.750 0.750
4 Pb 0.250 0.250 0.250

## Properties
Crystal system ... cubic

Least stable of them? ii.

## i
A plane-wave DFT calculation with PBE-GGA was carried out for an optimized crystal structure of InSi2Pb.

Lattice parameters (Å, degrees): 5.034 5.034 5.034 60.00 60.00 60.00
Fractional coordinates of all 4 atoms:
1 In 0.000 0.000 0.000
2 Si 0.250 0.250 0.250
3 Si 0.750 0.750 0.750
4 Pb 0.500 0.500 0.500

## Properties
Crystal system ... cubic

## ii
A plane-wave DFT calculation with PBE-GGA was carried out for an optimized crystal structure of InSi2Pb.

Lattice parameters (Å, degrees): 5.229 3.765 5.243 90.00 114.40 90.00
Fractional coordinates of all 4 atoms:
1 In 0.000 0.000 0.000
2 Si 0.578 0.000 0.423
3 Si 0.744 0.500 0.251
4 Pb 0.309 0.500 0.688

## Properties
Crystal system ... monoclinic

Least stable of them? i.

## i
A plane-wave DFT calculation with PBE-GGA was carried out for an optimized crystal structure of InSi2Pb.

Lattice parameters (Å, degrees): 3.416 3.416 7.803 90.00 90.00 90.00
Fractional coordinates of all 4 atoms:
1 In 0.000 0.000 0.000
2 Si 0.000 0.000 0.626
3 Si 0.500 0.500 0.720
4 Pb 0.500 0.500 0.334

## Properties
Crystal system ... tetragonal

## ii
A plane-wave DFT calculation with PBE-GGA was carried out for an optimized crystal structure of InSi2Pb.

Lattice parameters (Å, degrees): 6.956 6.956 6.956 149.43 145.39 46.83
Fractional coordinates of all 4 atoms:
1 In 0.000 0.000 0.000
2 Si 0.575 0.575 0.000
3 Si 0.696 0.196 0.500
4 Pb 0.300 0.800 0.500

## Properties
Crystal system ... orthorhombic

## iii
A plane-wave DFT calculation with PBE-GGA was carried out for an optimized crystal structure of InSi2Pb.

Lattice parameters (Å, degrees): 5.784 5.784 5.784 136.16 136.16 63.74
Fractional coordinates of all 4 atoms:
1 In 0.000 0.000 0.000
2 Si 0.500 0.500 0.000
3 Si 0.750 0.250 0.500
4 Pb 0.250 0.750 0.500

## Properties
Crystal system ... tetragonal

## iv
A plane-wave DFT calculation with PBE-GGA was carried out for an optimized crystal structure of InSi2Pb.

Lattice parameters (Å, degrees): 3.779 3.732 6.565 90.00 90.07 90.00
Fractional coordinates of all 4 atoms:
1 In 0.000 0.000 0.000
2 Si 0.500 0.500 0.187
3 Si 0.500 0.500 0.813
4 Pb 0.000 0.000 0.500

## Properties
Crystal system ... monoclinic

Least stable of them? iii.

## i
A plane-wave DFT calculation with PBE-GGA was carried out for an optimized crystal structure of InSi2Pb.

Lattice parameters (Å, degrees): 9.145 9.145 9.145 21.96 21.96 21.96
Fractional coordinates of all 4 atoms:
1 In 0.000 0.000 0.000
2 Si 0.257 0.257 0.257
3 Si 0.743 0.743 0.743
4 Pb 0.500 0.500 0.500

## Properties
Crystal system ... trigonal

## ii
A plane-wave DFT calculation with PBE-GGA was carried out for an optimized crystal structure of InSi2Pb.

Lattice parameters (Å, degrees): 5.753 5.753 6.275 121.13 121.13 36.54
Fractional coordinates of all 4 atoms:
1 In 0.000 0.000 0.000
2 Si 0.263 0.263 0.888
3 Si 0.737 0.737 0.112
4 Pb 0.500 0.500 0.500

## Properties
Crystal system ... monoclinic

Least stable of them? i.

## i
A plane-wave DFT calculation with PBE-GGA was carried out for an optimized crystal structure of Sm5InPb2.

Lattice parameters (Å, degrees): 6.891 6.891 6.891 118.70 118.70 92.27
Fractional coordinates of all 8 atoms:
1 Sm 0.000 0.000 0.000
2 Sm 0.000 0.000 0.500
3 Sm 0.000 0.500 0.000
4 Sm 0.500 0.000 0.000
5 Sm 0.500 0.500 0.500
6 In 0.500 0.500 0.000
7 Pb 0.000 0.500 0.500
8 Pb 0.500 0.000 0.500

## Properties
Crystal system ... tetragonal

## ii
A plane-wave DFT calculation with PBE-GGA was carried out for an optimized crystal structure of Sm5InPb2.

Lattice parameters (Å, degrees): 9.268 9.268 9.268 126.13 126.13 79.68
Fractional coordinates of all 16 atoms:
1 Sm 0.000 0.000 0.000
2 Sm 0.010 0.510 0.821
3 Sm 0.188 0.010 0.500
4 Sm 0.312 0.812 0.821
5 Sm 0.490 0.312 0.500
6 Sm 0.500 0.500 0.000
7 Sm 0.510 0.688 0.500
8 Sm 0.688 0.188 0.179
9 Sm 0.812 0.990 0.500
10 Sm 0.990 0.490 0.179
11 In 0.250 0.250 0.000
12 In 0.750 0.750 0.000
13 Pb 0.141 0.359 0.500
14 Pb 0.359 0.859 0.218
15 Pb 0.641 0.141 0.782
16 Pb 0.859 0.641 0.500

## Properties
Crystal system ... tetragonal

Least stable of them? i.

## i
A plane-wave DFT calculation with PBE-GGA was carried out for an optimized crystal structure of Sm2InPb3.

Lattice parameters (Å, degrees): 9.808 9.808 9.808 159.49 145.28 40.66
Fractional coordinates of all 6 atoms:
1 Sm 0.154 0.154 0.000
2 Sm 0.846 0.846 0.000
3 In 0.500 0.500 0.000
4 Pb 0.000 0.500 0.500
5 Pb 0.331 0.331 0.000
6 Pb 0.669 0.669 0.000

## Properties
Crystal system ... orthorhombic

## ii
A plane-wave DFT calculation with PBE-GGA was carried out for an optimized crystal structure of Sm2InPb3.

Lattice parameters (Å, degrees): 8.191 8.191 4.751 90.00 90.00 147.31
Fractional coordinates of all 6 atoms:
1 Sm 0.149 0.851 0.000
2 Sm 0.851 0.149 0.000
3 In 0.000 0.000 0.500
4 Pb 0.326 0.674 0.500
5 Pb 0.500 0.500 0.000
6 Pb 0.674 0.326 0.500

## Properties
Crystal system ... orthorhombic

Least stable of them? i.

## i
A plane-wave DFT calculation with PBE-GGA was carried out for an optimized crystal structure of SmTmInPb.

Lattice parameters (Å, degrees): 5.411 5.411 5.411 60.00 60.00 60.00
Fractional coordinates of all 4 atoms:
1 Sm 0.000 0.000 0.000
2 Tm 0.500 0.500 0.500
3 In 0.750 0.750 0.750
4 Pb 0.250 0.250 0.250

## Properties
Crystal system ... cubic

## ii
A plane-wave DFT calculation with PBE-GGA was carried out for an optimized crystal structure of SmTmInPb.

Lattice parameters (Å, degrees): 5.683 5.683 5.683 128.04 128.04 76.56
Fractional coordinates of all 4 atoms:
1 Sm 0.000 0.000 0.000
2 Tm 0.500 0.500 0.000
3 In 0.250 0.750 0.500
4 Pb 0.750 0.250 0.500

## Properties
Crystal system ... tetragonal

Least stable of them? i.

## i
A plane-wave DFT calculation with PBE-GGA was carried out for an optimized crystal structure of InSn2Pb.

Lattice parameters (Å, degrees): 4.770 4.770 5.016 90.00 90.00 90.00
Fractional coordinates of all 4 atoms:
1 In 0.000 0.000 0.000
2 Sn 0.000 0.500 0.500
3 Sn 0.500 0.000 0.500
4 Pb 0.500 0.500 0.000

## Properties
Crystal system ... tetragonal

## ii
A plane-wave DFT calculation with PBE-GGA was carried out for an optimized crystal structure of InSn2Pb.

Lattice parameters (Å, degrees): 5.446 5.446 5.446 60.00 60.00 60.00
Fractional coordinates of all 4 atoms:
1 In 0.000 0.000 0.000
2 Sn 0.250 0.250 0.250
3 Sn 0.750 0.750 0.750
4 Pb 0.500 0.500 0.500

## Properties
Crystal system ... cubic

Least stable of them? ii.

## i
A plane-wave DFT calculation with PBE-GGA was carried out for an optimized crystal structure of InSn2Pb.

Lattice parameters (Å, degrees): 8.160 8.160 8.160 130.62 130.62 72.41
Fractional coordinates of all 8 atoms:
1 In 0.000 0.000 0.000
2 In 0.750 0.250 0.500
3 Sn 0.115 0.625 0.990
4 Sn 0.375 0.365 0.490
5 Sn 0.635 0.125 0.010
6 Sn 0.875 0.885 0.510
7 Pb 0.250 0.750 0.500
8 Pb 0.500 0.500 0.000

## Properties
Crystal system ... tetragonal

## ii
A plane-wave DFT calculation with PBE-GGA was carried out for an optimized crystal structure of InSn2Pb.

Lattice parameters (Å, degrees): 5.194 8.953 5.575 90.00 113.27 90.00
Fractional coordinates of all 8 atoms:
1 In 0.111 0.250 0.459
2 In 0.889 0.750 0.541
3 Sn 0.232 0.565 0.263
4 Sn 0.232 0.935 0.263
5 Sn 0.768 0.065 0.737
6 Sn 0.768 0.435 0.737
7 Pb 0.466 0.250 0.076
8 Pb 0.534 0.750 0.924

## Properties
Crystal system ... monoclinic

Least stable of them? i.

## i
A plane-wave DFT calculation with PBE-GGA was carried out for an optimized crystal structure of InSn2Pb.

Lattice parameters (Å, degrees): 3.803 3.803 7.838 90.00 90.00 90.00
Fractional coordinates of all 4 atoms:
1 In 0.000 0.000 0.000
2 Sn 0.500 0.500 0.232
3 Sn 0.500 0.500 0.768
4 Pb 0.000 0.000 0.500

## Properties
Crystal system ... tetragonal

## ii
A plane-wave DFT calculation with PBE-GGA was carried out for an optimized crystal structure of InSn2Pb.

Lattice parameters (Å, degrees): 7.217 7.217 7.217 37.70 37.70 37.70
Fractional coordinates of all 4 atoms:
1 In 0.000 0.000 0.000
2 Sn 0.592 0.592 0.592
3 Sn 0.750 0.750 0.750
4 Pb 0.172 0.172 0.172

## Properties
Crystal system ... trigonal

Least stable of them? ii.

## i
A plane-wave DFT calculation with PBE-GGA was carried out for an optimized crystal structure of In4Sn2Pb.

Lattice parameters (Å, degrees): 9.202 9.202 10.509 90.00 90.00 151.88
Fractional coordinates of all 14 atoms:
1 In 0.000 0.000 0.000
2 In 0.000 0.000 0.500
3 In 0.215 0.785 0.611
4 In 0.215 0.785 0.889
5 In 0.479 0.521 0.250
6 In 0.521 0.479 0.750
7 In 0.785 0.215 0.111
8 In 0.785 0.215 0.389
9 Sn 0.377 0.623 0.509
10 Sn 0.377 0.623 0.991
11 Sn 0.623 0.377 0.009
12 Sn 0.623 0.377 0.491
13 Pb 0.130 0.870 0.250
14 Pb 0.870 0.130 0.750

## Properties
Crystal system ... orthorhombic

## ii
A plane-wave DFT calculation with PBE-GGA was carried out for an optimized crystal structure of In4Sn2Pb.

Lattice parameters (Å, degrees): 19.324 19.324 19.324 10.17 10.17 10.17
Fractional coordinates of all 7 atoms:
1 In 0.143 0.143 0.143
2 In 0.284 0.284 0.284
3 In 0.716 0.716 0.716
4 In 0.857 0.857 0.857
5 Sn 0.429 0.429 0.429
6 Sn 0.571 0.571 0.571
7 Pb 0.000 0.000 0.000

## Properties
Crystal system ... trigonal

Least stable of them? i.